! Ca2GaO2 (PBE, relaxed); values from VASP
! Raw formation energy in eV/f.u.: -9.01
! Total moment in μB per atom: 0.0000
&SYSTEM
  ibrav = 0, nat = 10, ntyp = 3
/
ATOMIC_SPECIES
O 16.00 O.upf
Ca 40.08 Ca.upf
Ga 69.72 Ga.upf
CELL_PARAMETERS angstrom
6.766 0.000 0.000
0.000 6.766 0.000
0.000 0.000 3.267
ATOMIC_POSITIONS crystal
O 0.845 0.655 0.000
O 0.655 0.155 0.000
Ca 0.659 0.841 0.500
Ga 0.000 0.000 0.000
Ca 0.159 0.659 0.500
Ca 0.841 0.341 0.500
O 0.345 0.845 0.000
Ca 0.341 0.159 0.500
Ga 0.500 0.500 0.000
O 0.155 0.345 0.000